Record 1
3
Lattice="-0.1629 2.1430 2.1097 -4.7932 -1.6720 1.3284 4.2296 -2.0096 2.3679" Properties=species:S:1:pos:R:3 comment="GGA-PBEsol SrCaTc, optimized geometry" volume_a3_per_atom=23.9 spacegroup="P3m1 (156)" final_energy_ev_per_atom=-4.197 n_ef_per_ev_cell=2.29 ef_kcal_per_mol_atoms=20.37 pbc="T T T"
Tc -1.8329 -1.1617 2.2881
Sr 1.1086 -0.4052 3.4901
Ca -0.0021 0.0283 0.0278

Record 2
5
Lattice="-2.0227 -5.8845 -0.1745 1.0115 -0.1656 -6.1399 5.7995 -2.0235 1.0100" Properties=species:S:1:pos:R:3 comment="GGA-PBEsol Sr3CaTc, optimized geometry" volume_a3_per_atom=48.2 spacegroup="Pm-3m (221)" final_energy_ev_per_atom=-2.059 n_ef_per_ev_cell=4.94 ef_kcal_per_mol_atoms=39.78 pbc="T T T"
Sr -1.0114 -2.9422 -0.0873
Tc 2.3942 -4.0368 -2.6522
Sr 2.8998 -1.0117 0.5050
Ca 0.0000 0.0000 0.0000
Sr 0.5058 -0.0828 -3.0699